1.
CoCBr2 | PBE | relaxed

energy above the lowest structure with this stoichiometry	0.0215	eV/atom
E	-13.49	eV/cell
E_form (uncorrected)	1.55	eV per atom

Lattice parameters (Å, degrees): 7.940 7.940 7.940 26.02 26.02 26.02
Last column: magnetic moment on the atom in μB.
Fractional coordinates of all 4 atoms:
Co (0.500, 0.500, 0.500)  2.04
Br (0.898, 0.898, 0.898)  0.11
Br (0.102, 0.102, 0.102)  0.11
C (0.000, 0.000, 0.000)  0.03

2.
CoHCBr2 | PBE | relaxed

E	-14.37	eV/cell

Lattice parameters (Å, degrees): 4.766 3.236 4.766 90.00 90.00 90.00
Last column: magnetic moment on the atom in μB.
Fractional coordinates of all 5 atoms:
Br (0.000, 0.000, 0.500)  0.06
Co (0.000, 0.500, 0.000)  1.51
Br (0.500, 0.000, 0.000)  0.02
H (0.000, 0.000, 0.000)  -0.03
C (0.500, 0.500, 0.500)  0.29

3.
La8Co3CBr3 | PBE | relaxed

E	-84.47	eV/cell
E_form (uncorrected)	-0.63	eV per atom

Lattice parameters (Å, degrees): 7.816 8.295 9.046 116.96 90.00 118.11
Fractional coordinates of all 15 atoms:
La (0.771, 0.543, 0.319)
Co (0.500, 0.000, 0.500)
La (0.254, 0.020, 0.314)
La (0.765, 0.020, 0.314)
Br (0.000, 0.000, 0.000)
Br (0.500, 0.500, 0.000)
C (0.000, 0.000, 0.500)
La (0.258, 0.515, 0.305)
Co (0.500, 0.500, 0.500)
La (0.235, 0.980, 0.686)
La (0.229, 0.457, 0.681)
Br (0.000, 0.500, 0.000)
La (0.746, 0.980, 0.686)
Co (0.000, 0.500, 0.500)
La (0.742, 0.485, 0.695)

4.
La6Co2CBr3 | PBE | relaxed

E	-67.85	eV/cell
E_form (uncorrected)	-0.82	eV per atom

Lattice parameters (Å, degrees): 7.055 7.055 8.030 97.15 97.15 121.43
Fractional coordinates of all 12 atoms:
C (0.000, 0.000, 0.000)
La (0.397, 0.080, 0.181)
La (0.764, 0.764, 0.200)
Br (0.500, 0.500, 0.500)
Co (0.341, 0.659, 0.000)
La (0.920, 0.603, 0.819)
Co (0.659, 0.341, 0.000)
La (0.080, 0.397, 0.181)
Br (0.827, 0.173, 0.500)
La (0.236, 0.236, 0.800)
Br (0.173, 0.827, 0.500)
La (0.603, 0.920, 0.819)

5.
La8CoC3Br4 | PBE | relaxed

E	-94.25	eV/cell
E_form (uncorrected)	-0.84	eV per atom

Lattice parameters (Å, degrees): 7.827 8.898 7.973 116.62 119.40 90.00
Fractional coordinates of all 16 atoms:
La (0.768, 0.316, 0.045)
Br (0.500, 0.000, 0.500)
La (0.723, 0.684, 0.955)
La (0.729, 0.687, 0.458)
La (0.271, 0.313, 0.542)
La (0.232, 0.684, 0.955)
C (0.500, 0.500, 0.000)
Co (0.000, 0.500, 0.000)
La (0.277, 0.316, 0.045)
La (0.756, 0.309, 0.511)
C (0.000, 0.500, 0.500)
Br (0.000, 0.000, 0.000)
C (0.500, 0.500, 0.500)
Br (0.500, 0.000, 0.000)
La (0.244, 0.691, 0.489)
Br (0.000, 0.000, 0.500)

6.
La4CoCBr2 | PBE | relaxed

E	-45.87	eV/cell
E_form (uncorrected)	-0.81	eV per atom

Lattice parameters (Å, degrees): 3.862 7.279 8.081 107.76 90.00 90.00
Fractional coordinates of all 8 atoms:
Br (0.000, 0.500, 0.500)
La (0.000, 0.297, 0.810)
La (0.000, 0.703, 0.190)
C (0.500, 0.500, 0.000)
Co (0.000, 0.000, 0.000)
La (0.500, 0.221, 0.182)
La (0.500, 0.779, 0.818)
Br (0.500, 0.000, 0.500)

Table of magnetization (μB per formula unit), in record order: 2.38 2.10 0.71 0.00 0.00 0.00